*A*
NaReOs2: relaxed, PBE.

Cell and atoms, written as POSCAR:
```
NaReOs2
1.0
-3.6764 3.6764 2.6828
3.6764 -3.6764 2.6828
3.6764 3.6764 -2.6828
Na Re Os
2 2 4
Direct
0.0000 0.0000 0.0000
0.7500 0.2500 0.5000
0.2500 0.7500 0.5000
0.5000 0.5000 0.0000
0.1794 0.6250 0.0544
0.3750 0.4294 0.5544
0.5706 0.1250 0.9456
0.8750 0.8206 0.4456
```

Output
Volume: 73 Å³/f.u.
DOS(E_F): 2.095 states/eV/f.u.
Symmetry: I-42d

---

*B*
NaReOs2: relaxed, PBE.

Cell and atoms, written as POSCAR:
```
NaReOs2
1.0
0.0000 3.0951 3.0951
3.0951 0.0000 3.0951
3.0951 3.0951 0.0000
Na Re Os
1 1 2
Direct
0.0000 0.0000 0.0000
0.5000 0.5000 0.5000
0.2500 0.2500 0.2500
0.7500 0.7500 0.7500
```

Output
Volume: 59 Å³/f.u.
DOS(E_F): 1.510 states/eV/f.u.
Symmetry: Fm-3m

---

How far above the most stable structure does each one sit? In meV per atom: *A* 414; *B* 0.

---

*A*
NaOs2Rh: relaxed, PBE.

Cell and atoms, written as POSCAR:
```
NaOs2Rh
1.0
0.0000 3.1001 3.1001
3.1001 0.0000 3.1001
3.1001 3.1001 0.0000
Na Os Rh
1 2 1
Direct
0.0000 0.0000 0.0000
0.2500 0.2500 0.2500
0.7500 0.7500 0.7500
0.5000 0.5000 0.5000
```

Output
Volume: 60 Å³/f.u.
DOS(E_F): 6.285 states/eV/f.u.
Symmetry: Fm-3m

---

*B*
NaOs2Rh: relaxed, PBE.

Cell and atoms, written as POSCAR:
```
NaOs2Rh
1.0
-3.8111 3.8111 2.4374
3.8111 -3.8111 2.4374
3.8111 3.8111 -2.4374
Na Os Rh
2 4 2
Direct
0.0000 0.0000 0.0000
0.7500 0.2500 0.5000
0.1826 0.6250 0.0576
0.3750 0.4326 0.5576
0.5674 0.1250 0.9424
0.8750 0.8174 0.4424
0.2500 0.7500 0.5000
0.5000 0.5000 0.0000
```

Output
Volume: 71 Å³/f.u.
DOS(E_F): 5.868 states/eV/f.u.
Symmetry: I-42d

---

How far above the most stable structure does each one sit? In meV per atom: *A* 0; *B* 41.